# 1
Material: Al3ReO
Method: DFT, GGA-PBE
State: relaxed

## Properties
Symmetry: No. 221
Calculated total energy in eV/atom: -6.253
Energy above the most stable polymorph in this dataset in eV/atom: 0.000
Magnetic moment in μB/cell: 0.13

a = 4.0072 Å, b = 4.0072 Å, c = 4.0072 Å
α = 90.00°, β = 90.00°, γ = 90.00°
With the nearest neighbours (Å) after each atom.
Fractional coordinates of all 5 atoms:
1 Al 0.0000 0.0000 0.5000  2 O 2.00
2 Al 0.0000 0.5000 0.0000  2 O 2.00
3 Al 0.5000 0.0000 0.0000  2 O 2.00
4 Re 0.5000 0.5000 0.5000  12 Al 2.83
5 O 0.0000 0.0000 0.0000  6 Al 2.00

# 2
Material: La2Pm3Cd2
Method: DFT, GGA-PBE
State: relaxed

## Properties
Symmetry: No. 65
Calculated total energy in eV/atom: -3.828
Energy above the most stable polymorph in this dataset in eV/atom: 0.024
DFT formation energy in eV/atom: -0.12
Magnetic moment in μB/cell: 0.00

a = 16.0477 Å, b = 16.0477 Å, c = 3.7088 Å
α = 90.00°, β = 90.00°, γ = 166.55°
With the nearest neighbours (Å) after each atom.
Fractional coordinates of all 7 atoms:
1 La 0.2063 0.7937 0.0000  6 La 3.36-3.76, 4 Cd 3.40
2 La 0.7937 0.2063 0.0000  6 La 3.36-3.76, 4 Cd 3.40
3 Pm 0.0783 0.9217 0.0000  4 Cd 3.27, 4 Pm 3.63
4 Pm 0.5000 0.5000 0.5000  12 Pm 3.63-3.76
5 Pm 0.9217 0.0783 0.0000  4 Cd 3.27, 4 Pm 3.63
6 Cd 0.3612 0.6388 0.5000  4 Pm 3.27, 4 La 3.40
7 Cd 0.6388 0.3612 0.5000  4 Pm 3.27, 4 La 3.40